# 1
Computed, not measured: Sr2ZrPt after structural relaxation at the PBEsol level of DFT.

The energy of formation comes out at 0.185 eV per atom. The calculation puts the volume at 24.59 Å³/atom. The calculated total energy comes out at -4.7489 eV/atom. Its offset from the most stable computed form is 0.1313 eV per atom.

It has space group I4/mmm (No. 139), with a = 4.281 Å, b = 4.281 Å, c = 10.733 Å, α = 90.00°, β = 90.00° and γ = 90.00°. The distinct sites, in fractional coordinates, are Sr at (0.000, 0.500, 0.250), Zr at (0.000, 0.000, 0.000) and Pt at (0.000, 0.000, 0.500).

=====

# 2
Computed, not measured: Sr2ZrPt after structural relaxation at the PBEsol level of DFT.

The energy of formation comes out at 0.053 eV per atom. The calculation puts the volume at 28.23 Å³/atom. The calculated total energy comes out at -4.8801 eV/atom. Its offset from the most stable computed form is 0.0000 eV per atom.

It has space group P4/mmm (No. 123), with a = 3.471 Å, b = 3.471 Å, c = 9.374 Å, α = 90.00°, β = 90.00° and γ = 90.00°. The distinct sites, in fractional coordinates, are Sr at (0.000, 0.000, 0.196), Zr at (0.500, 0.500, 0.500) and Pt at (0.500, 0.500, 0.000).

=====

# 3
Computed, not measured: TaPt3 after structural relaxation at the PBEsol level of DFT.

The energy of formation comes out at -0.736 eV per atom. The calculation puts the volume at 15.34 Å³/atom. The calculated total energy comes out at -9.0967 eV/atom.

It has space group Pmmn (No. 59, origin choice 2), with a = 4.555 Å, b = 5.537 Å, c = 4.866 Å, α = 90.00°, β = 90.00° and γ = 90.00°. The distinct sites, in fractional coordinates, are Ta at (0.250, 0.250, 0.160), Pt at (0.250, 0.000, 0.666) and Pt at (0.250, 0.750, 0.160).

=====

Copy entry 1 word for word.
Computed, not measured: Sr2ZrPt after structural relaxation at the PBEsol level of DFT.

The energy of formation comes out at 0.185 eV per atom. The calculation puts the volume at 24.59 Å³/atom. The calculated total energy comes out at -4.7489 eV/atom. Its offset from the most stable computed form is 0.1313 eV per atom.

It has space group I4/mmm (No. 139), with a = 4.281 Å, b = 4.281 Å, c = 10.733 Å, α = 90.00°, β = 90.00° and γ = 90.00°. The distinct sites, in fractional coordinates, are Sr at (0.000, 0.500, 0.250), Zr at (0.000, 0.000, 0.000) and Pt at (0.000, 0.000, 0.500).